# 1
Mg2ZnRh at its PBEsol-relaxed geometry. Source: Alexandria, functional meta-GGA SCAN.

Lattice parameters (Å, degrees): 3.189 4.390 5.268 114.76 107.62 90.00
Sites, in units of the cell vectors:
Zn 0.769 0.270 0.539
Mg 0.232 0.732 0.463
Mg 0.010 0.010 0.020
Rh 0.489 0.488 0.978

DFT formation energy ... -447.6 meV per atom
Total magnetization ... 0.00 μB per cell

---

# 2
BaHfZn2I at its PBEsol-relaxed geometry. Source: Alexandria, functional meta-GGA SCAN.

Lattice parameters (Å, degrees): 5.244 5.244 6.168 90.00 90.00 90.00
Last column: magnetic moment on the atom in μB.
Sites, in units of the cell vectors:
Zn 0.500 0.000 0.000  -0.01
Zn 0.000 0.500 0.000  -0.01
Ba 0.000 0.000 0.500  0.08
I 0.000 0.000 0.000  0.01
Hf 0.500 0.500 0.500  0.89

Uncorrected formation energy ... 1.170 eV per atom
Total magnetization ... 1.70 μB per cell